No. 1
Here is a relaxed DyB3W crystal from Alexandria via LeMat-Bulk. Energies are from PBE-GGA.

Calculated values
E_tot in eV for the cell shown: -79.46
Crystal system: orthorhombic
Calculated formation energy in meV per atom: -428

Cell: 10.1170 10.1170 3.1842 Å, 90.00 90.00 159.86°
Closest atoms and distances in Å follow each position.
Atoms (fractional coordinates):
Dy (0.0740, 0.9260, 0.7500)  12 B 2.59-2.65
Dy (0.9260, 0.0740, 0.2500)  12 B 2.59-2.65
B (0.3269, 0.6731, 0.2500)  2 B 1.86
B (0.3753, 0.6247, 0.7500)  3 B 1.86-2.04
B (0.4776, 0.5224, 0.7500)  3 B 1.83-2.04
B (0.5224, 0.4776, 0.2500)  3 B 1.83-2.04
B (0.6247, 0.3753, 0.2500)  3 B 1.86-2.04
B (0.6731, 0.3269, 0.7500)  2 B 1.86
W (0.2075, 0.7925, 0.2500)  7 B 2.38-2.48
W (0.7925, 0.2075, 0.7500)  7 B 2.38-2.48

=====

No. 2
Here is a relaxed LiPr2Th crystal from Alexandria via LeMat-Bulk. Energies are from PBE-GGA.

Calculated values
E_tot in eV for the cell shown: -18.49
Offset from the most stable computed form in meV/atom: 65
Crystal system: trigonal
Calculated formation energy in meV per atom: 101

Cell: 11.8689 11.8689 11.8689 Å, 17.31 17.31 17.31°
Closest atoms and distances in Å follow each position.
Atoms (fractional coordinates):
Li (0.0000, 0.0000, 0.0000)  6 Pr 3.51-3.53, 6 Li 3.57
Pr (0.4151, 0.4151, 0.4151)  3 Li 3.53, 6 Pr 3.57, 3 Th 3.63
Pr (0.5856, 0.5856, 0.5856)  3 Li 3.51, 6 Pr 3.57, 3 Th 3.63
Th (0.8337, 0.8337, 0.8337)  6 Th 3.57, 6 Pr 3.63

=====

What did the first record say?
Here is a relaxed DyB3W crystal from Alexandria via LeMat-Bulk. Energies are from PBE-GGA.

Calculated values
E_tot in eV for the cell shown: -79.46
Crystal system: orthorhombic
Calculated formation energy in meV per atom: -428

Cell: 10.1170 10.1170 3.1842 Å, 90.00 90.00 159.86°
Closest atoms and distances in Å follow each position.
Atoms (fractional coordinates):
Dy (0.0740, 0.9260, 0.7500)  12 B 2.59-2.65
Dy (0.9260, 0.0740, 0.2500)  12 B 2.59-2.65
B (0.3269, 0.6731, 0.2500)  2 B 1.86
B (0.3753, 0.6247, 0.7500)  3 B 1.86-2.04
B (0.4776, 0.5224, 0.7500)  3 B 1.83-2.04
B (0.5224, 0.4776, 0.2500)  3 B 1.83-2.04
B (0.6247, 0.3753, 0.2500)  3 B 1.86-2.04
B (0.6731, 0.3269, 0.7500)  2 B 1.86
W (0.2075, 0.7925, 0.2500)  7 B 2.38-2.48
W (0.7925, 0.2075, 0.7500)  7 B 2.38-2.48

=====

Question: Among the records above, which one has the lowest E_tot?
Answer: DyB3W

=====

Question: The highest E_tot belongs to which entry?
Answer: LiPr2Th